# 1
# LaTl2Ge2 | Alexandria via LeMat-Bulk | GGA-PBE | optimized geometry
data_LaTl2Ge2
_space_group_name_H-M_alt 'P 1'
_space_group_IT_number 1
_cell_length_a 7.2506
_cell_length_b 7.2506
_cell_length_c 7.2506
_cell_angle_alpha 142.74
_cell_angle_beta 142.74
_cell_angle_gamma 53.72
loop_
_space_group_symop_operation_xyz
'x,y,z'
loop_
_atom_site_label
_atom_site_type_symbol
_atom_site_fract_x
_atom_site_fract_y
_atom_site_fract_z
La1 La 0.0000 0.0000 0.0000
Tl1 Tl 0.3858 0.3858 0.0000
Tl2 Tl 0.6142 0.6142 0.0000
Ge1 Ge 0.2500 0.7500 0.5000
Ge2 Ge 0.7500 0.2500 0.5000
# raw total energy	-3.741	eV per atom
# energy of formation	0.038	eV/atom
# symmetry	No. 139

=====

# 2
# La3Tl2Ge | Alexandria via LeMat-Bulk | GGA-PBE | optimized geometry
data_La3Tl2Ge
_space_group_name_H-M_alt 'P 1'
_space_group_IT_number 1
_cell_length_a 13.2077
_cell_length_b 4.4847
_cell_length_c 12.9720
_cell_angle_alpha 90.00
_cell_angle_beta 90.00
_cell_angle_gamma 90.00
loop_
_space_group_symop_operation_xyz
'x,y,z'
loop_
_atom_site_label
_atom_site_type_symbol
_atom_site_fract_x
_atom_site_fract_y
_atom_site_fract_z
La1 La 0.0545 0.2500 0.1226
La2 La 0.1176 0.7500 0.5440
La3 La 0.2335 0.2500 0.7865
La4 La 0.2665 0.7500 0.2865
La5 La 0.3824 0.2500 0.0440
La6 La 0.4455 0.7500 0.6226
La7 La 0.5545 0.2500 0.3774
La8 La 0.6176 0.7500 0.9560
La9 La 0.7335 0.2500 0.7135
La10 La 0.7665 0.7500 0.2135
La11 La 0.8824 0.2500 0.4560
La12 La 0.9455 0.7500 0.8774
Tl1 Tl 0.0038 0.2500 0.7005
Tl2 Tl 0.1868 0.7500 0.9975
Tl3 Tl 0.3132 0.2500 0.4975
Tl4 Tl 0.4962 0.7500 0.2005
Tl5 Tl 0.5038 0.2500 0.7995
Tl6 Tl 0.6868 0.7500 0.5025
Tl7 Tl 0.8132 0.2500 0.0025
Tl8 Tl 0.9962 0.7500 0.2995
Ge1 Ge 0.1227 0.2500 0.3692
Ge2 Ge 0.3773 0.7500 0.8692
Ge3 Ge 0.6227 0.2500 0.1308
Ge4 Ge 0.8773 0.7500 0.6308
# raw total energy	-4.492	eV per atom
# energy of formation	-0.470	eV/atom
# symmetry	No. 62

=====

# 3
# La6Tl5Ge | Alexandria via LeMat-Bulk | GGA-PBE | optimized geometry
data_La6Tl5Ge
_space_group_name_H-M_alt 'P 1'
_space_group_IT_number 1
_cell_length_a 9.6927
_cell_length_b 9.6927
_cell_length_c 9.6927
_cell_angle_alpha 146.55
_cell_angle_beta 132.26
_cell_angle_gamma 59.55
loop_
_space_group_symop_operation_xyz
'x,y,z'
loop_
_atom_site_label
_atom_site_type_symbol
_atom_site_fract_x
_atom_site_fract_y
_atom_site_fract_z
La1 La 0.0787 0.3422 0.7365
La2 La 0.2290 0.0000 0.2290
La3 La 0.3943 0.6578 0.7365
La4 La 0.6057 0.3422 0.2635
La5 La 0.7710 0.0000 0.7710
La6 La 0.9213 0.6578 0.2635
Tl1 Tl 0.1830 0.1830 0.0000
Tl2 Tl 0.3372 0.8372 0.5000
Tl3 Tl 0.5000 0.5000 0.0000
Tl4 Tl 0.6628 0.1628 0.5000
Tl5 Tl 0.8170 0.8170 0.0000
Ge1 Ge 0.0000 0.5000 0.5000
# raw total energy	-4.307	eV per atom
# energy of formation	-0.472	eV/atom
# symmetry	No. 71

=====

# 4
# La12Tl3Ge | Alexandria via LeMat-Bulk | GGA-PBE | optimized geometry
data_La12Tl3Ge
_space_group_name_H-M_alt 'P 1'
_space_group_IT_number 1
_cell_length_a 5.0382
_cell_length_b 5.0382
_cell_length_c 20.0640
_cell_angle_alpha 90.00
_cell_angle_beta 90.00
_cell_angle_gamma 90.00
loop_
_space_group_symop_operation_xyz
'x,y,z'
loop_
_atom_site_label
_atom_site_type_symbol
_atom_site_fract_x
_atom_site_fract_y
_atom_site_fract_z
La1 La 0.0000 0.0000 0.0000
La2 La 0.0000 0.0000 0.2450
La3 La 0.0000 0.0000 0.5000
La4 La 0.0000 0.0000 0.7550
La5 La 0.0000 0.5000 0.1162
La6 La 0.0000 0.5000 0.3724
La7 La 0.0000 0.5000 0.6276
La8 La 0.0000 0.5000 0.8838
La9 La 0.5000 0.0000 0.1162
La10 La 0.5000 0.0000 0.3724
La11 La 0.5000 0.0000 0.6276
La12 La 0.5000 0.0000 0.8838
Tl1 Tl 0.5000 0.5000 0.2454
Tl2 Tl 0.5000 0.5000 0.5000
Tl3 Tl 0.5000 0.5000 0.7546
Ge1 Ge 0.5000 0.5000 0.0000
# raw total energy	-4.708	eV per atom
# energy of formation	-0.280	eV/atom
# symmetry	No. 123

=====

# 5
# La4TlGe2 | Alexandria via LeMat-Bulk | GGA-PBE | optimized geometry
data_La4TlGe2
_space_group_name_H-M_alt 'P 1'
_space_group_IT_number 1
_cell_length_a 8.5405
_cell_length_b 8.5405
_cell_length_c 9.8833
_cell_angle_alpha 124.83
_cell_angle_beta 124.83
_cell_angle_gamma 71.08
loop_
_space_group_symop_operation_xyz
'x,y,z'
loop_
_atom_site_label
_atom_site_type_symbol
_atom_site_fract_x
_atom_site_fract_y
_atom_site_fract_z
La1 La 0.1991 0.7964 0.9258
La2 La 0.2036 0.8009 0.5742
La3 La 0.2731 0.3707 0.0737
La4 La 0.3707 0.2731 0.5737
La5 La 0.6293 0.7269 0.4263
La6 La 0.7269 0.6293 0.9263
La7 La 0.7964 0.1991 0.4258
La8 La 0.8009 0.2036 0.0742
Tl1 Tl 0.1246 0.8754 0.2500
Tl2 Tl 0.8754 0.1246 0.7500
Ge1 Ge 0.0000 0.5000 0.5000
Ge2 Ge 0.5000 0.0000 0.0000
Ge3 Ge 0.5000 0.5000 0.0000
Ge4 Ge 0.5000 0.5000 0.5000
# raw total energy	-4.982	eV per atom
# energy of formation	-0.509	eV/atom
# symmetry	No. 15

=====

# 6
# LaTlGe | Alexandria via LeMat-Bulk | GGA-PBE | optimized geometry
data_LaTlGe
_space_group_name_H-M_alt 'P 1'
_space_group_IT_number 1
_cell_length_a 9.7684
_cell_length_b 9.7684
_cell_length_c 4.0495
_cell_angle_alpha 90.00
_cell_angle_beta 90.00
_cell_angle_gamma 154.07
loop_
_space_group_symop_operation_xyz
'x,y,z'
loop_
_atom_site_label
_atom_site_type_symbol
_atom_site_fract_x
_atom_site_fract_y
_atom_site_fract_z
La1 La 0.0913 0.9087 0.7500
La2 La 0.9087 0.0913 0.2500
Tl1 Tl 0.2859 0.7141 0.7500
Tl2 Tl 0.7141 0.2859 0.2500
Ge1 Ge 0.4572 0.5428 0.7500
Ge2 Ge 0.5428 0.4572 0.2500
# raw total energy	-4.524	eV per atom
# energy of formation	-0.554	eV/atom
# symmetry	No. 63

=====

# 7
# LaTlGe3 | Alexandria via LeMat-Bulk | GGA-PBE | optimized geometry
data_LaTlGe3
_space_group_name_H-M_alt 'P 1'
_space_group_IT_number 1
_cell_length_a 5.7098
_cell_length_b 5.7098
_cell_length_c 5.7098
_cell_angle_alpha 90.00
_cell_angle_beta 90.00
_cell_angle_gamma 90.00
loop_
_space_group_symop_operation_xyz
'x,y,z'
loop_
_atom_site_label
_atom_site_type_symbol
_atom_site_fract_x
_atom_site_fract_y
_atom_site_fract_z
La1 La 0.0000 0.0000 0.0000
Tl1 Tl 0.5000 0.5000 0.5000
Ge1 Ge 0.0000 0.0000 0.5000
Ge2 Ge 0.0000 0.5000 0.0000
Ge3 Ge 0.5000 0.0000 0.0000
# raw total energy	-3.567	eV per atom
# energy of formation	0.663	eV/atom
# symmetry	No. 221

=====

# 8
# LaTlGe | Alexandria via LeMat-Bulk | GGA-PBE | optimized geometry
data_LaTlGe
_space_group_name_H-M_alt 'P 1'
_space_group_IT_number 1
_cell_length_a 4.5352
_cell_length_b 4.5352
_cell_length_c 4.7909
_cell_angle_alpha 90.00
_cell_angle_beta 90.00
_cell_angle_gamma 120.00
loop_
_space_group_symop_operation_xyz
'x,y,z'
loop_
_atom_site_label
_atom_site_type_symbol
_atom_site_fract_x
_atom_site_fract_y
_atom_site_fract_z
La1 La 0.0000 0.0000 0.0000
Tl1 Tl 0.6667 0.3333 0.5757
Ge1 Ge 0.3333 0.6667 0.3312
# raw total energy	-4.485	eV per atom
# energy of formation	-0.514	eV/atom
# symmetry	No. 156

=====

# 9
# LaTmTlGe | Alexandria via LeMat-Bulk | GGA-PBE | optimized geometry
data_LaTmTlGe
_space_group_name_H-M_alt 'P 1'
_space_group_IT_number 1
_cell_length_a 5.3273
_cell_length_b 5.3273
_cell_length_c 5.3273
_cell_angle_alpha 60.00
_cell_angle_beta 60.00
_cell_angle_gamma 60.00
loop_
_space_group_symop_operation_xyz
'x,y,z'
loop_
_atom_site_label
_atom_site_type_symbol
_atom_site_fract_x
_atom_site_fract_y
_atom_site_fract_z
La1 La 0.0000 0.0000 0.0000
Tm1 Tm 0.5000 0.5000 0.5000
Tl1 Tl 0.7500 0.7500 0.7500
Ge1 Ge 0.2500 0.2500 0.2500
# raw total energy	-4.542	eV per atom
# energy of formation	-0.447	eV/atom
# symmetry	No. 216

=====

# 10
# LaTlGe2W | Alexandria via LeMat-Bulk | GGA-PBE | optimized geometry
data_LaTlGe2W
_space_group_name_H-M_alt 'P 1'
_space_group_IT_number 1
_cell_length_a 5.6924
_cell_length_b 5.6924
_cell_length_c 5.0510
_cell_angle_alpha 90.00
_cell_angle_beta 90.00
_cell_angle_gamma 90.00
loop_
_space_group_symop_operation_xyz
'x,y,z'
loop_
_atom_site_label
_atom_site_type_symbol
_atom_site_fract_x
_atom_site_fract_y
_atom_site_fract_z
La1 La 0.0000 0.0000 0.0000
Tl1 Tl 0.5000 0.5000 0.5000
Ge1 Ge 0.0000 0.5000 0.0000
Ge2 Ge 0.5000 0.0000 0.0000
W1 W 0.0000 0.0000 0.5000
# raw total energy	-4.236	eV per atom
# energy of formation	1.660	eV/atom
# symmetry	No. 123

=====

# 11
# LaYTlGe | Alexandria via LeMat-Bulk | GGA-PBE | optimized geometry
data_LaYTlGe
_space_group_name_H-M_alt 'P 1'
_space_group_IT_number 1
_cell_length_a 5.3594
_cell_length_b 5.3594
_cell_length_c 5.3594
_cell_angle_alpha 60.00
_cell_angle_beta 60.00
_cell_angle_gamma 60.00
loop_
_space_group_symop_operation_xyz
'x,y,z'
loop_
_atom_site_label
_atom_site_type_symbol
_atom_site_fract_x
_atom_site_fract_y
_atom_site_fract_z
La1 La 0.0000 0.0000 0.0000
Y1 Y 0.5000 0.5000 0.5000
Tl1 Tl 0.7500 0.7500 0.7500
Ge1 Ge 0.2500 0.2500 0.2500
# raw total energy	-5.075	eV per atom
# energy of formation	-0.482	eV/atom
# symmetry	No. 216

=====

# 12
# La2TmGe | Alexandria via LeMat-Bulk | GGA-PBE | optimized geometry
data_La2TmGe
_space_group_name_H-M_alt 'P 1'
_space_group_IT_number 1
_cell_length_a 4.7555
_cell_length_b 4.7555
_cell_length_c 4.9083
_cell_angle_alpha 90.00
_cell_angle_beta 90.00
_cell_angle_gamma 90.00
loop_
_space_group_symop_operation_xyz
'x,y,z'
loop_
_atom_site_label
_atom_site_type_symbol
_atom_site_fract_x
_atom_site_fract_y
_atom_site_fract_z
La1 La 0.0000 0.5000 0.0000
La2 La 0.5000 0.0000 0.0000
Tm1 Tm 0.0000 0.0000 0.5000
Ge1 Ge 0.5000 0.5000 0.5000
# raw total energy	-5.080	eV per atom
# energy of formation	-0.344	eV/atom
# symmetry	No. 123